Record 1
VASP calculation (PBE) on a relaxed Cd2IrSe crystal.

The space group is I-42d (No. 122) and the conventional cell measures 7.667, 7.667 and 5.581 Å, with angles of 90.00, 90.00 and 90.00 degrees. The asymmetric unit holds Cd at (0.244, 0.750, 0.125), Ir at (0.000, 0.000, 0.000) and Se at (0.000, 0.000, 0.500).

Its total energy is -3.173 eV/atom. The value obtained for the total moment is 0.00 μB per cell. The density of states at the Fermi level is 4.1 states/eV/f.u. The value obtained for the formation energy without anion corrections is 371 meV per atom.



Record 2
VASP calculation (PBE) on a relaxed SmPuSn crystal.

The space group is P6_3/mmc (No. 194) and the conventional cell measures 5.5256, 5.5256 and 6.3731 Å, with angles of 90.00, 90.00 and 120.00 degrees. The asymmetric unit holds Sm at (0.3333, 0.6667, 0.2500), Pu at (0.0000, 0.0000, 0.0000) and Sn at (0.3333, 0.6667, 0.7500).

Its total energy is -8.156 eV/atom. The value obtained for the total moment is 13.31 μB per cell. Its formation energy from the elements is -471.5 meV per atom. The density of states at the Fermi level is 7.2 states/eV/f.u.



Record 3
VASP calculation (PBE) on a relaxed ZnRe2Br crystal.

The space group is I-42d (No. 122) and the conventional cell measures 3.873, 3.873 and 19.787 Å, with angles of 90.00, 90.00 and 90.00 degrees. The asymmetric unit holds Zn at (0.000, 0.000, 0.000), Re at (0.186, 0.250, 0.125) and Br at (0.000, 0.000, 0.500).

Its total energy is -5.917 eV/atom. The value obtained for the total moment is 0.00 μB per cell. The density of states at the Fermi level is 3.4 states/eV/f.u. The value obtained for the formation energy without anion corrections is 1044 meV per atom.



Record 4
VASP calculation (PBE) on a relaxed Ba2GaSi3 crystal.

The space group is Fmmm (No. 69) and the conventional cell measures 8.403, 10.267 and 14.538 Å, with angles of 90.00, 90.00 and 90.00 degrees. The asymmetric unit holds Ba at (0.000, 0.247, 0.000), Ba at (0.250, 0.250, 0.250), Ga at (0.000, 0.000, 0.334), Si at (0.000, 0.000, 0.164) and Si at (0.246, 0.000, 0.082).

Its total energy is -4.254 eV/atom. The value obtained for the total moment is 0.00 μB per cell. The density of states at the Fermi level is 2.9 states/eV/f.u. The value obtained for the formation energy without anion corrections is -398 meV per atom.